No. 1
Density functional theory data (PBE-GGA) for a relaxed structure of EuEr2Lu.

Output
Crystal system ... trigonal
Space group ... No. 166
DFT total energy ... -0.2136 hartree per atom

Unit cell a=12.541 b=12.541 c=12.541 alpha=15.98 beta=15.98 gamma=15.98
Positions (direct):
1 Eu 0.000 0.000 0.000
2 Er 0.092 0.092 0.092
3 Er 0.908 0.908 0.908
4 Lu 0.500 0.500 0.500

=====

No. 2
Density functional theory data (PBE-GGA) for a relaxed structure of Eu2ErLu.

Output
Crystal system ... tetragonal
Space group ... No. 123
DFT total energy ... -0.2671 hartree per atom

Unit cell a=5.127 b=5.127 c=5.215 alpha=90.00 beta=90.00 gamma=90.00
Positions (direct):
1 Eu 0.000 0.500 0.000
2 Eu 0.500 0.000 0.000
3 Er 0.000 0.000 0.500
4 Lu 0.500 0.500 0.500

=====

No. 3
Density functional theory data (PBE-GGA) for a relaxed structure of Eu2ErLu.

Output
Crystal system ... cubic
Space group ... No. 225
DFT total energy ... -0.2657 hartree per atom

Unit cell a=5.786 b=5.786 c=5.786 alpha=60.00 beta=60.00 gamma=60.00
Positions (direct):
1 Eu 0.250 0.250 0.250
2 Eu 0.750 0.750 0.750
3 Er 0.000 0.000 0.000
4 Lu 0.500 0.500 0.500

=====

No. 4
Density functional theory data (PBE-GGA) for a relaxed structure of PmEuErLu.

Output
Crystal system ... cubic
Space group ... No. 216
DFT total energy ... -0.2162 hartree per atom

Unit cell a=5.726 b=5.726 c=5.726 alpha=60.00 beta=60.00 gamma=60.00
Positions (direct):
1 Pm 0.000 0.000 0.000
2 Eu 0.500 0.500 0.500
3 Er 0.250 0.250 0.250
4 Lu 0.750 0.750 0.750

=====

The calculation returns the following theoretical density values, one per record and in order: 8.43 7.83 7.83 8.00 g/cm³.